Record 1
# La2Ho3Tm

A geometry-optimized La2Ho3Tm structure (GGA-PBE, Alexandria).

a b c (Å): 8.994 8.994 10.213
angles (deg): 123.02 123.02 36.18
Fractional coordinates of all 12 atoms:
1 La 0.012 0.012 0.366
2 La 0.274 0.274 0.634
3 La 0.726 0.726 0.366
4 La 0.988 0.988 0.634
5 Ho 0.112 0.112 0.151
6 Ho 0.205 0.205 0.922
7 Ho 0.449 0.449 0.101
8 Ho 0.551 0.551 0.899
9 Ho 0.795 0.795 0.078
10 Ho 0.888 0.888 0.849
11 Tm 0.364 0.364 0.351
12 Tm 0.636 0.636 0.649

The value obtained for the formation energy from the elements is 0.0962 eV per atom. The energy above the most stable polymorph in this dataset is 0.022 eV per atom.

***

Record 2
# Ac2ZnS

A geometry-optimized Ac2ZnS structure (GGA-PBE, Alexandria).

a b c (Å): 8.485 8.485 8.485
angles (deg): 28.92 28.92 28.92
Fractional coordinates of all 4 atoms:
1 Ac 0.000 0.000 0.000
2 Ac 0.184 0.184 0.184
3 Zn 0.425 0.425 0.425
4 S 0.594 0.594 0.594

As for the raw formation energy: -0.9622 eV/atom. The energy above the most stable polymorph in this dataset is 0.058 eV per atom.

***

Record 3
# Pr4GePd3

A geometry-optimized Pr4GePd3 structure (GGA-PBE, Alexandria).

a b c (Å): 4.074 4.509 11.105
angles (deg): 90.00 90.00 90.00
Fractional coordinates of all 8 atoms:
1 Pr 0.000 0.000 0.000
2 Pr 0.000 0.500 0.273
3 Pr 0.500 0.000 0.497
4 Pr 0.500 0.500 0.775
5 Ge 0.000 0.000 0.717
6 Pd 0.000 0.500 0.556
7 Pd 0.500 0.000 0.221
8 Pd 0.500 0.500 0.055

The value obtained for the formation energy from the elements is -0.7786 eV per atom.

***

Record 4
# Mg3Zr3N

A geometry-optimized Mg3Zr3N structure (GGA-PBE, Alexandria).

a b c (Å): 9.073 9.073 9.073
angles (deg): 60.00 60.00 60.00
Fractional coordinates of all 28 atoms:
1 Mg 0.000 0.000 0.000
2 Mg 0.000 0.000 0.500
3 Mg 0.000 0.500 0.000
4 Mg 0.132 0.789 0.789
5 Mg 0.211 0.211 0.211
6 Mg 0.211 0.211 0.868
7 Mg 0.211 0.868 0.211
8 Mg 0.500 0.000 0.000
9 Mg 0.789 0.132 0.789
10 Mg 0.789 0.789 0.132
11 Mg 0.789 0.789 0.789
12 Mg 0.868 0.211 0.211
13 Zr 0.200 0.200 0.550
14 Zr 0.200 0.550 0.200
15 Zr 0.200 0.550 0.550
16 Zr 0.450 0.450 0.800
17 Zr 0.450 0.800 0.450
18 Zr 0.450 0.800 0.800
19 Zr 0.550 0.200 0.200
20 Zr 0.550 0.200 0.550
21 Zr 0.550 0.550 0.200
22 Zr 0.800 0.450 0.450
23 Zr 0.800 0.450 0.800
24 Zr 0.800 0.800 0.450
25 N 0.000 0.500 0.500
26 N 0.500 0.000 0.500
27 N 0.500 0.500 0.000
28 N 0.500 0.500 0.500

As for the raw formation energy: -0.4474 eV/atom.

***

Record 5
# Cd5Ag4Sn

A geometry-optimized Cd5Ag4Sn structure (GGA-PBE, Alexandria).

a b c (Å): 3.110 3.110 21.379
angles (deg): 90.00 90.00 90.00
Fractional coordinates of all 10 atoms:
1 Cd 0.000 0.000 0.000
2 Cd 0.000 0.000 0.187
3 Cd 0.000 0.000 0.377
4 Cd 0.000 0.000 0.623
5 Cd 0.000 0.000 0.813
6 Ag 0.500 0.500 0.094
7 Ag 0.500 0.500 0.282
8 Ag 0.500 0.500 0.718
9 Ag 0.500 0.500 0.906
10 Sn 0.500 0.500 0.500

The value obtained for the formation energy from the elements is -0.0215 eV per atom. The energy above the most stable polymorph in this dataset is 0.000 eV per atom.

***

Record 6
# CaTmCdPb

A geometry-optimized CaTmCdPb structure (GGA-PBE, Alexandria).

a b c (Å): 5.382 5.382 5.382
angles (deg): 60.00 60.00 60.00
Fractional coordinates of all 4 atoms:
1 Ca 0.000 0.000 0.000
2 Tm 0.500 0.500 0.500
3 Cd 0.750 0.750 0.750
4 Pb 0.250 0.250 0.250

The value obtained for the formation energy from the elements is -0.3781 eV per atom. The energy above the most stable polymorph in this dataset is 0.013 eV per atom.

***

Record 7
# MgHgPS2

A geometry-optimized MgHgPS2 structure (GGA-PBE, Alexandria).

a b c (Å): 4.637 4.637 5.860
angles (deg): 90.00 90.00 90.00
Fractional coordinates of all 5 atoms:
1 Mg 0.000 0.000 0.000
2 Hg 0.000 0.000 0.500
3 P 0.500 0.500 0.500
4 S 0.000 0.500 0.000
5 S 0.500 0.000 0.000

As for the raw formation energy: 0.5966 eV/atom. The energy above the most stable polymorph in this dataset is 0.082 eV per atom.

***

Record 8
# Cs2MnH4

A geometry-optimized Cs2MnH4 structure (GGA-PBE, Alexandria).

a b c (Å): 6.223 6.223 6.223
angles (deg): 118.33 118.33 92.92
Fractional coordinates of all 7 atoms:
1 Cs 0.250 0.750 0.500
2 Cs 0.750 0.250 0.500
3 Mn 0.000 0.000 0.000
4 H 0.187 0.187 0.375
5 H 0.187 0.813 0.000
6 H 0.813 0.187 0.000
7 H 0.813 0.813 0.625

The value obtained for the final energy is -24.31 eV per cell.

***

Record 9
# In3Ag4

A geometry-optimized In3Ag4 structure (GGA-PBE, Alexandria).

a b c (Å): 12.579 12.579 3.038
angles (deg): 90.00 90.00 120.00
Fractional coordinates of all 14 atoms:
1 In 0.080 0.427 0.250
2 In 0.348 0.920 0.250
3 In 0.427 0.348 0.750
4 In 0.573 0.652 0.250
5 In 0.652 0.080 0.750
6 In 0.920 0.573 0.750
7 Ag 0.144 0.686 0.250
8 Ag 0.314 0.459 0.250
9 Ag 0.333 0.667 0.750
10 Ag 0.459 0.144 0.750
11 Ag 0.541 0.856 0.250
12 Ag 0.667 0.333 0.250
13 Ag 0.686 0.541 0.750
14 Ag 0.856 0.314 0.750

The value obtained for the formation energy from the elements is 0.1443 eV per atom. The energy above the most stable polymorph in this dataset is 0.140 eV per atom.

***

Record 10
# Rh2C3

A geometry-optimized Rh2C3 structure (GGA-PBE, Alexandria).

a b c (Å): 5.540 5.412 7.250
angles (deg): 49.31 47.79 82.90
Fractional coordinates of all 10 atoms:
1 Rh 0.165 0.835 0.373
2 Rh 0.623 0.877 0.415
3 Rh 0.835 0.165 0.627
4 Rh 0.877 0.623 0.085
5 C 0.142 0.142 0.858
6 C 0.249 0.398 0.526
7 C 0.392 0.392 0.108
8 C 0.398 0.249 0.827
9 C 0.423 0.724 0.852
10 C 0.724 0.423 0.001

The value obtained for the formation energy from the elements is 0.8123 eV per atom. The energy above the most stable polymorph in this dataset is 0.157 eV per atom.

***

Record 11
# Nd2Dy3Ho4

A geometry-optimized Nd2Dy3Ho4 structure (GGA-PBE, Alexandria).

a b c (Å): 9.998 9.998 6.134
angles (deg): 95.01 95.01 70.90
Fractional coordinates of all 18 atoms:
1 Nd 0.021 0.733 0.678
2 Nd 0.267 0.979 0.822
3 Nd 0.733 0.021 0.178
4 Nd 0.979 0.267 0.322
5 Dy 0.098 0.902 0.250
6 Dy 0.238 0.433 0.403
7 Dy 0.433 0.238 0.903
8 Dy 0.567 0.762 0.097
9 Dy 0.762 0.567 0.597
10 Dy 0.902 0.098 0.750
11 Ho 0.078 0.355 0.848
12 Ho 0.313 0.594 0.984
13 Ho 0.355 0.078 0.348
14 Ho 0.406 0.687 0.516
15 Ho 0.594 0.313 0.484
16 Ho 0.645 0.922 0.652
17 Ho 0.687 0.406 0.016
18 Ho 0.922 0.645 0.152

The value obtained for the formation energy from the elements is 0.0946 eV per atom.

***

Record 12
# HgTe3Au

A geometry-optimized HgTe3Au structure (GGA-PBE, Alexandria).

a b c (Å): 5.493 5.493 5.493
angles (deg): 90.00 90.00 90.00
Fractional coordinates of all 5 atoms:
1 Hg 0.000 0.000 0.000
2 Te 0.000 0.500 0.500
3 Te 0.500 0.000 0.500
4 Te 0.500 0.500 0.000
5 Au 0.500 0.500 0.500

As for the raw formation energy: 0.4745 eV/atom. The energy above the most stable polymorph in this dataset is 0.000 eV per atom.